First-principles (PBE-GGA) data for a relaxed ZrTe2Os crystal, as listed in Alexandria.

Summary:
Raw formation energy   513 meV per atom
SG   F-43m
Size of the total moment   0.6 μB per formula unit
Distance to the lowest polymorph of the same formula   315 kJ/mol of formula units
Fermi-level density of states   1.20 states/eV per atom
Calculated density   10.28 g/cm3

Cell: 4.967 4.967 4.967 Å, 60.00 60.00 60.00°
Each line ends with the local moment (μB).
Fractional positions:
Te 0.000 0.000 0.000  0.06
Te 0.250 0.250 0.250  0.01
Zr 0.750 0.750 0.750  -0.03
Os 0.500 0.500 0.500  0.52